Cs2SrAs | GGA-PBEsol | relaxed

Cell: 13.271 13.271 5.942 Å, 90.00 90.00 90.00°
Space group I-42d (No. 122)
Symmetry-distinct sites (fractional):
Cs1 0.099 0.750 0.125
Sr1 0.000 0.000 0.500
As1 0.000 0.000 0.000

Values from the calculation:
E   -2.457 eV/atom


ScCrCl | GGA-PBEsol | relaxed

Cell: 3.2256 3.2256 6.2171 Å, 90.00 90.00 120.00°
Space group P3m1 (No. 156)
Symmetry-distinct sites (fractional):
Sc1 0.0000 0.0000 0.0000
Cr1 0.3333 0.6667 0.3273
Cl1 0.6667 0.3333 0.7079

Values from the calculation:
Formation energy without anion corrections   -278 meV/atom
Distance to the lowest polymorph of the same formula   0.0 meV per atom
E   -6.563 eV/atom


ZrMnO3 | GGA-PBEsol | relaxed

Cell: 5.4086 5.4086 14.1941 Å, 90.00 90.00 120.00°
Space group R-3 (No. 148, hexagonal axes)
Symmetry-distinct sites (fractional):
Zr1 0.0000 0.0000 0.1448
Mn1 0.0000 0.0000 0.3617
O1 0.0100 0.7056 0.7525

Values from the calculation:
Formation energy without anion corrections   -2500 meV/atom
E   -9.420 eV/atom


Zn2NiTe | GGA-PBEsol | relaxed

Cell: 3.799 3.799 4.436 Å, 90.00 90.00 90.00°
Space group P4/mmm (No. 123)
Symmetry-distinct sites (fractional):
Zn1 0.000 0.500 0.000
Ni1 0.000 0.000 0.500
Te1 0.500 0.500 0.500

Values from the calculation:
Formation energy without anion corrections   170 meV/atom
Distance to the lowest polymorph of the same formula   170.8 meV per atom
E   -3.042 eV/atom


Be2CuRu | GGA-PBEsol | relaxed

Cell: 3.695 3.695 2.921 Å, 90.00 90.00 90.00°
Space group P4/mmm (No. 123)
Symmetry-distinct sites (fractional):
Be1 0.000 0.500 0.000
Cu1 0.000 0.000 0.500
Ru1 0.500 0.500 0.500

Values from the calculation:
Distance to the lowest polymorph of the same formula   0.0 meV per atom
E   -5.909 eV/atom


Cu2Te3O8 | GGA-PBEsol | relaxed

Cell: 11.726 5.255 12.045 Å, 90.00 100.38 90.00°
Space group C2/c (No. 15)
Symmetry-distinct sites (fractional):
Cu1 0.234 0.224 0.344
Te1 0.000 0.152 0.750
Te2 0.131 0.213 0.051
O1 0.087 0.077 0.356
O2 0.117 0.110 0.640
O3 0.187 0.402 0.185
O4 0.222 0.463 0.952

Values from the calculation:
Formation energy without anion corrections   -858 meV/atom
E   -5.569 eV/atom


Q: What is the formula in the fourth record?
A: Zn2NiTe


Q: Which value of E does entry 6 give?
A: -5.569 eV/atom